1.
A PBEsol-optimized structure of YIrSe2, computed with SCAN.

Computed properties:
For the formation energy without anion corrections, the calculation gives -0.473 eV per atom. For the excess energy over the best structure of this formula in the dataset, the calculation gives 402 meV per atom. Its space-group type is Cmmm.

Cell: 3.624 3.624 6.726 Å, 90.00 90.00 114.01°
Element x y z (fractional)
Ir 0.500 0.500 0.000
Se 0.000 0.000 0.779
Se 0.000 0.000 0.221
Y 0.500 0.500 0.500

***

2.
A PBEsol-optimized structure of As2PbAu, computed with SCAN.

Computed properties:
The calculation puts the formation energy at 34.25 kJ per mole of atoms. Its space-group type is F-43m.

Cell: 4.906 4.906 4.906 Å, 60.00 60.00 60.00°
Element x y z (fractional)
Pb 0.250 0.250 0.250
Au 0.500 0.500 0.500
As 0.000 0.000 0.000
As 0.750 0.750 0.750

***

3.
A PBEsol-optimized structure of BaZn2Rh2, computed with SCAN.

Computed properties:
The calculation puts the formation energy at -27.56 kJ per mole of atoms. Its space-group type is I4/mmm.

Cell: 4.468 4.468 5.818 Å, 112.58 112.58 90.00°
Element x y z (fractional)
Rh 0.250 0.750 0.500
Rh 0.750 0.250 0.500
Zn 0.361 0.361 0.723
Zn 0.639 0.639 0.277
Ba 0.000 0.000 0.000

***

4.
A PBEsol-optimized structure of La2MnAl, computed with SCAN.

Computed properties:
The calculation puts the formation energy at -10.47 kJ per mole of atoms. Its space-group type is I-4m2.

Cell: 4.530 4.530 5.627 Å, 113.74 113.74 90.00°
Element x y z (fractional)
La 0.750 0.250 0.500
La 0.000 0.000 0.000
Al 0.250 0.750 0.500
Mn 0.500 0.500 0.000

***

5.
A PBEsol-optimized structure of CrCuHg2, computed with SCAN.

Computed properties:
The calculation puts the formation energy at 20.63 kJ per mole of atoms. For the excess energy over the best structure of this formula in the dataset, the calculation gives 49 meV per atom. Its space-group type is Cm.

Cell: 3.296 4.572 4.999 Å, 106.28 109.25 90.00°
Element x y z (fractional)
Cr 0.488 0.504 0.976
Hg 0.241 0.720 0.482
Hg 0.011 0.032 0.022
Cu 0.760 0.245 0.519

***

6.
A PBEsol-optimized structure of CdPb2Au, computed with SCAN.

Computed properties:
The calculation puts the formation energy at -4.05 kJ per mole of atoms. Its space-group type is Immm.

Cell: 3.453 4.517 7.123 Å, 108.49 104.03 90.00°
Element x y z (fractional)
Au 0.500 0.000 0.000
Cd 0.000 0.500 0.000
Pb 0.185 0.185 0.371
Pb 0.815 0.815 0.629

***

7.
A PBEsol-optimized structure of FeAgPd2W, computed with SCAN.

Computed properties:
The calculation puts the formation energy at 116.97 kJ per mole of atoms. Its space-group type is P4/mmm.

Cell: 4.255 4.553 4.553 Å, 90.00 90.00 90.00°
Element x y z (fractional)
Fe 0.000 0.000 0.000
Ag 0.500 0.500 0.500
Pd 0.000 0.500 0.000
Pd 0.000 0.000 0.500
W 0.500 0.000 0.000

***

8.
A PBEsol-optimized structure of BePt3, computed with SCAN.

Computed properties:
The calculation puts the formation energy at -47.68 kJ per mole of atoms. Its space-group type is P4/mmm.

Cell: 2.742 2.742 6.972 Å, 90.00 90.00 90.00°
Element x y z (fractional)
Pt 0.500 0.500 0.797
Pt 0.500 0.500 0.203
Pt 0.000 0.000 0.500
Be 0.000 0.000 0.000

***

9.
A PBEsol-optimized structure of TeRu2Br, computed with SCAN.

Computed properties:
For the formation energy without anion corrections, the calculation gives 0.906 eV per atom. For the excess energy over the best structure of this formula in the dataset, the calculation gives 642 meV per atom. Its space-group type is Immm.

Cell: 3.074 5.281 5.281 Å, 63.24 73.08 73.08°
Element x y z (fractional)
Ru 0.759 0.241 0.241
Ru 0.241 0.759 0.759
Te 0.500 0.000 0.000
Br 0.000 0.500 0.500

***

10.
A PBEsol-optimized structure of Tl2SiPb, computed with SCAN.

Computed properties:
For the formation energy without anion corrections, the calculation gives 0.413 eV per atom. For the excess energy over the best structure of this formula in the dataset, the calculation gives 63 meV per atom. Its space-group type is I4/mmm.

Cell: 4.454 4.454 6.052 Å, 111.59 111.59 90.00°
Element x y z (fractional)
Si 0.000 0.000 0.000
Tl 0.750 0.250 0.500
Tl 0.250 0.750 0.500
Pb 0.500 0.500 0.000

***

11.
A PBEsol-optimized structure of LiCd2Sb, computed with SCAN.

Computed properties:
For the formation energy without anion corrections, the calculation gives -0.097 eV per atom. Its space-group type is Cmmm.

Cell: 3.114 3.114 8.895 Å, 90.00 90.00 90.17°
Element x y z (fractional)
Cd 0.000 0.000 0.716
Cd 0.000 0.000 0.284
Li 0.500 0.500 0.500
Sb 0.500 0.500 0.000

***

12.
A PBEsol-optimized structure of MgPb3, computed with SCAN.

Computed properties:
The calculation puts the formation energy at -5.38 kJ per mole of atoms. Its space-group type is Pmmm.

Cell: 3.502 4.449 7.157 Å, 90.00 90.00 90.00°
Element x y z (fractional)
Pb 0.500 0.500 0.768
Pb 0.500 0.500 0.232
Pb 0.000 0.000 0.500
Mg 0.000 0.000 0.000

***

13.
A PBEsol-optimized structure of MnAsIr2, computed with SCAN.

Computed properties:
The calculation puts the formation energy at -19.33 kJ per mole of atoms. Its space-group type is C2/m.

Cell: 2.868 4.454 4.750 Å, 99.25 90.00 108.78°
Element x y z (fractional)
Ir 0.244 0.487 0.242
Ir 0.756 0.513 0.758
Mn 0.500 0.000 0.000
As 0.000 0.000 0.500

***

14.
A PBEsol-optimized structure of Mn3Cr, computed with SCAN.

Computed properties:
The calculation puts the formation energy at 10.36 kJ per mole of atoms. Its space-group type is Immm.

Cell: 2.762 3.921 4.576 Å, 115.37 107.57 90.00°
Element x y z (fractional)
Mn 0.263 0.763 0.526
Mn 0.737 0.237 0.474
Mn 0.500 0.500 0.000
Cr 0.000 0.000 0.000

***

15.
A PBEsol-optimized structure of YMn3Ir, computed with SCAN.

Computed properties:
The calculation puts the formation energy at 10.41 kJ per mole of atoms. Its space-group type is Pm-3m.

Cell: 4.709 4.709 4.709 Å, 90.00 90.00 90.00°
Element x y z (fractional)
Mn 0.000 0.000 0.500
Mn 0.500 0.000 0.000
Mn 0.000 0.500 0.000
Ir 0.000 0.000 0.000
Y 0.500 0.500 0.500

***

16.
A PBEsol-optimized structure of MgAg3, computed with SCAN.

Computed properties:
The calculation puts the formation energy at -15.38 kJ per mole of atoms. For the excess energy over the best structure of this formula in the dataset, the calculation gives 0 meV per atom. Its space-group type is I4/mmm.

Cell: 4.055 4.055 8.714 Å, 103.45 103.45 90.00°
Element x y z (fractional)
Ag 0.877 0.877 0.753
Ag 0.250 0.750 0.500
Ag 0.500 0.000 0.000
Ag 0.000 0.500 0.000
Ag 0.750 0.250 0.500
Ag 0.123 0.123 0.247
Mg 0.373 0.373 0.747
Mg 0.627 0.627 0.253

***

17.
A PBEsol-optimized structure of Sr2LaCu2HgO6, computed with SCAN.

Computed properties:
For the formation energy without anion corrections, the calculation gives -2.037 eV per atom. Its space-group type is P4/mmm.

Cell: 3.858 3.858 12.134 Å, 90.00 90.00 90.00°
Element x y z (fractional)
O 0.000 0.500 0.633
O 0.500 0.000 0.633
O 0.500 0.000 0.367
O 0.000 0.500 0.367
O 0.000 0.000 0.168
O 0.000 0.000 0.832
La 0.500 0.500 0.500
Cu 0.000 0.000 0.361
Cu 0.000 0.000 0.639
Sr 0.500 0.500 0.781
Sr 0.500 0.500 0.219
Hg 0.000 0.000 0.000

***

18.
A PBEsol-optimized structure of In2IrSe, computed with SCAN.

Computed properties:
For the formation energy without anion corrections, the calculation gives 0.037 eV per atom. Its space-group type is R-3m.

Cell: 3.657 3.657 7.442 Å, 75.78 75.78 60.00°
Element x y z (fractional)
Se 0.000 0.000 0.000
In 0.245 0.245 0.265
In 0.755 0.755 0.735
Ir 0.500 0.500 0.500

***

19.
A PBEsol-optimized structure of PtS2Cl8, computed with SCAN.

Computed properties:
For the formation energy without anion corrections, the calculation gives -0.391 eV per atom. Its space-group type is P2_1/c.

Cell: 6.299 7.056 12.543 Å, 90.00 85.06 90.00°
Element x y z (fractional)
Cl 0.803 0.665 0.383
Cl 0.226 0.835 0.665
Cl 0.774 0.165 0.335
Cl 0.226 0.665 0.165
Cl 0.741 0.421 0.080
Cl 0.763 0.905 0.142
Cl 0.197 0.335 0.617
Cl 0.237 0.095 0.858
Cl 0.197 0.165 0.117
Cl 0.763 0.595 0.642
Cl 0.741 0.079 0.580
Cl 0.259 0.921 0.420
Cl 0.237 0.405 0.358
Cl 0.803 0.835 0.883
Cl 0.259 0.579 0.920
Cl 0.774 0.335 0.835
S 0.714 0.295 0.477
S 0.286 0.705 0.523
S 0.286 0.795 0.023
S 0.714 0.205 0.977
Pt 0.000 0.000 0.000
Pt 0.000 0.500 0.500

***

20.
A PBEsol-optimized structure of MgSbAs, computed with SCAN.

Computed properties:
For the formation energy without anion corrections, the calculation gives 0.053 eV per atom. Its space-group type is F-43m.

Cell: 4.778 4.778 4.778 Å, 60.00 60.00 60.00°
Element x y z (fractional)
Mg 0.000 0.000 0.000
Sb 0.500 0.500 0.500
As 0.250 0.250 0.250

***

| no. | energy (eV/atom) |
| --- | --- |
| 1 | -35.25 |
| 2 | -45.97 |
| 3 | -27.11 |
| 4 | -28.16 |
| 5 | -42.27 |
| 6 | -62.83 |
| 7 | -35.73 |
| 8 | -54.23 |
| 9 | -30.68 |
| 10 | -57.22 |
| 11 | -25.22 |
| 12 | -58.14 |
| 13 | -45.36 |
| 14 | -18.18 |
| 15 | -30.63 |
| 16 | -24.93 |
| 17 | -20.67 |
| 18 | -39.45 |
| 19 | -14.32 |
| 20 | -20.76 |